1.
Compound: Be2SbAs
Source: Alexandria
Functional: PBE
Structure: relaxed

abc: 4.818 4.818 4.818
angles: 137.18 111.06 84.67
Atoms (fractional coordinates):
Sb 0.250 0.750 0.500
As 0.750 0.250 0.500
Be 0.964 0.964 0.000
Be 0.536 0.536 0.000

Output
The energy relative to the lowest polymorph listed for this composition is 0.401 eV per atom. As for the symmetry: Immm, No. 71. The density of states at the Fermi level comes out at 0.518 states/eV per atom. The total magnetic moment comes out at 0.00 μB/f.u.

2.
Compound: Sr2CuMo
Source: Alexandria
Functional: PBE
Structure: relaxed

abc: 3.547 3.547 9.035
angles: 90.00 90.00 89.97
Atoms (fractional coordinates):
Cu 0.000 0.000 0.576
Mo 0.500 0.500 0.670
Sr 0.000 0.000 0.924
Sr 0.500 0.500 0.330

Output
The energy relative to the lowest polymorph listed for this composition is 0.011 eV per atom. As for the symmetry: P4mm, No. 99. Its formation energy is 2.50 eV per formula unit. The density of states at the Fermi level comes out at 1.515 states/eV per atom. The total magnetic moment comes out at 2.10 μB/f.u.

3.
Compound: YTa2Sb
Source: Alexandria
Functional: PBE
Structure: relaxed

abc: 3.553 3.553 6.979
angles: 90.00 90.00 90.00
Atoms (fractional coordinates):
Sb 0.500 0.500 0.787
Ta 0.000 0.000 0.013
Ta 0.500 0.500 0.211
Y 0.000 0.000 0.490

Output
The calculation puts the total DFT energy (no corrections) at -34.56 eV/cell. As for the symmetry: P4mm, No. 99. The density of states at the Fermi level comes out at 0.731 states/eV per atom. The total magnetic moment comes out at 0.00 μB/f.u.

4.
Compound: FeNiPt2
Source: Alexandria
Functional: PBE
Structure: relaxed

abc: 4.098 2.707 5.161
angles: 74.73 90.00 90.00
Atoms (fractional coordinates):
Ni 0.500 0.560 0.757
Fe 0.000 0.689 0.496
Pt 0.000 0.957 0.962
Pt 0.500 0.295 0.285

Output
As for the symmetry: Pm, No. 6. Its formation energy is -0.58 eV per formula unit. The density of states at the Fermi level comes out at 0.838 states/eV per atom. The total magnetic moment comes out at 4.48 μB/f.u.

5.
Compound: Co2ReHg
Source: Alexandria
Functional: PBE
Structure: relaxed

abc: 4.603 4.603 2.733
angles: 90.00 90.00 103.40
Atoms (fractional coordinates):
Co 0.000 0.000 0.000
Co 0.500 0.500 0.000
Hg 0.500 0.000 0.500
Re 0.000 0.500 0.500

Output
As for the symmetry: Cmmm, No. 65. Its formation energy is 2.22 eV per formula unit. The density of states at the Fermi level comes out at 1.606 states/eV per atom. The total magnetic moment comes out at 2.60 μB/f.u.

6.
Compound: AcLu2Pb
Source: Alexandria
Functional: PBE
Structure: relaxed

abc: 3.838 3.838 8.715
angles: 90.00 90.00 90.00
Atoms (fractional coordinates):
Pb 0.500 0.500 0.000
Ac 0.500 0.500 0.500
Lu 0.000 0.000 0.792
Lu 0.000 0.000 0.208

Output
The energy relative to the lowest polymorph listed for this composition is 0.020 eV per atom. As for the symmetry: P4/mmm, No. 123. Its formation energy is -0.58 eV per formula unit. The density of states at the Fermi level comes out at 1.286 states/eV per atom. The total magnetic moment comes out at 0.00 μB/f.u.

Question: Among the records above, which one has the highest total magnetic moment?
Answer: FeNiPt2

Question: What is the total magnetic moment in the fifth record?
Answer: 2.60 μB/f.u.

Question: Which formula does entry 1 have?
Answer: Be2SbAs